*one*
DFT (PBE-GGA) results for La2Pm3Pb4 after structural relaxation.

## Properties
Symmetry: P2_1/c
DOS(E_F): 15.14 states/eV per cell

Cell lengths 8.6893, 8.6742, 8.3964 Å; angles 90.00, 111.19, 90.00 degrees
Last column: nearest neighbours and their distance in Å.
Positions (direct):
La 0.1936 0.1805 0.0606  5 Pb 3.28-3.59
La 0.1936 0.3195 0.5606  5 Pb 3.28-3.59
La 0.8064 0.6805 0.4394  5 Pb 3.28-3.59
La 0.8064 0.8195 0.9394  5 Pb 3.28-3.59
Pm 0.2443 0.6623 0.2383  6 Pb 3.17-3.35
Pm 0.2443 0.8377 0.7383  6 Pb 3.17-3.35
Pm 0.5000 0.0000 0.5000  6 Pb 3.30-3.38
Pm 0.5000 0.5000 0.0000  6 Pb 3.30-3.38
Pm 0.7557 0.1623 0.2617  6 Pb 3.17-3.35
Pm 0.7557 0.3377 0.7617  6 Pb 3.17-3.35
Pb 0.0855 0.5390 0.8326  4 Pm 3.17-3.38, 2 La 3.36-3.54
Pb 0.0855 0.9610 0.3326  4 Pm 3.17-3.38, 2 La 3.36-3.54
Pb 0.4897 0.1387 0.8622  5 Pm 3.23-3.33, 2 La 3.28-3.55, 1 Pb 3.30
Pb 0.4897 0.3613 0.3622  5 Pm 3.23-3.33, 2 La 3.28-3.55, 1 Pb 3.30
Pb 0.5103 0.6387 0.6378  5 Pm 3.23-3.33, 2 La 3.28-3.55, 1 Pb 3.30
Pb 0.5103 0.8613 0.1378  5 Pm 3.23-3.33, 2 La 3.28-3.55, 1 Pb 3.30
Pb 0.9145 0.0390 0.6674  4 Pm 3.17-3.38, 2 La 3.36-3.54
Pb 0.9145 0.4610 0.1674  4 Pm 3.17-3.38, 2 La 3.36-3.54

***

*two*
DFT (PBE-GGA) results for La2Pm3Pb4 after structural relaxation.

## Properties
Symmetry: Cmce
DOS(E_F): 11.49 states/eV per cell

Cell lengths 9.6062, 9.6062, 9.2589 Å; angles 90.00, 90.00, 135.06 degrees
Last column: nearest neighbours and their distance in Å.
Positions (direct):
La 0.1108 0.8892 0.9112  3 Pb 3.44-3.54
La 0.3892 0.6108 0.4112  3 Pb 3.44-3.54
La 0.6108 0.3892 0.5888  3 Pb 3.44-3.54
La 0.8892 0.1108 0.0888  3 Pb 3.44-3.54
Pm 0.0000 0.0000 0.5000  6 Pb 3.00-3.33
Pm 0.0439 0.4561 0.7500  5 Pb 3.13-3.40
Pm 0.4561 0.0439 0.2500  5 Pb 3.13-3.40
Pm 0.5000 0.5000 0.0000  6 Pb 3.00-3.33
Pm 0.5439 0.9561 0.7500  5 Pb 3.13-3.40
Pm 0.9561 0.5439 0.2500  5 Pb 3.13-3.40
Pb 0.1850 0.8150 0.5567  5 Pm 3.21-3.40, 1 La 3.54
Pb 0.2202 0.2798 0.7500  3 Pm 3.00-3.13
Pb 0.2798 0.2202 0.2500  3 Pm 3.00-3.13
Pb 0.3150 0.6850 0.0567  5 Pm 3.21-3.40, 1 La 3.54
Pb 0.6850 0.3150 0.9433  5 Pm 3.21-3.40, 1 La 3.54
Pb 0.7202 0.7798 0.7500  3 Pm 3.00-3.13
Pb 0.7798 0.7202 0.2500  3 Pm 3.00-3.13
Pb 0.8150 0.1850 0.4433  5 Pm 3.21-3.40, 1 La 3.54

***

Which structure wins on stability? *one* wins.

***

*one*
DFT (PBE-GGA) results for La2PmPb after structural relaxation.

## Properties
Symmetry: R3m
DOS(E_F): 4.19 states/eV per cell

Cell lengths 11.7000, 11.7000, 11.7000 Å; angles 18.31, 18.31, 18.31 degrees
Last column: nearest neighbours and their distance in Å.
Positions (direct):
La 0.0000 0.0000 0.0000  3 Pb 3.49, 3 Pm 3.67, 6 La 3.72
La 0.1730 0.1730 0.1730  3 Pb 3.51, 3 Pm 3.69, 6 La 3.72
Pm 0.7528 0.7528 0.7528  6 La 3.67-3.69, 6 Pm 3.72
Pb 0.5869 0.5869 0.5869  6 La 3.49-3.51, 6 Pb 3.72

***

*two*
DFT (PBE-GGA) results for La2PmPb after structural relaxation.

## Properties
Symmetry: P4/mmm
DOS(E_F): 5.30 states/eV per cell

Cell lengths 4.3844, 4.3844, 7.0177 Å; angles 90.00, 90.00, 90.00 degrees
Last column: nearest neighbours and their distance in Å.
Positions (direct):
La 0.0000 0.0000 0.2259  1 La 3.17, 4 Pb 3.48
La 0.0000 0.0000 0.7741  1 La 3.17, 4 Pb 3.48
Pm 0.5000 0.5000 0.5000  2 Pb 3.51, 8 La 3.65
Pb 0.5000 0.5000 0.0000  8 La 3.48, 2 Pm 3.51

***

*three*
DFT (PBE-GGA) results for La2PmPb after structural relaxation.

## Properties
Symmetry: P4/mmm
DOS(E_F): 5.29 states/eV per cell

Cell lengths 4.9877, 4.9877, 5.1340 Å; angles 90.00, 90.00, 90.00 degrees
Last column: nearest neighbours and their distance in Å.
Positions (direct):
La 0.0000 0.5000 0.0000  4 La 3.53, 4 Pb 3.58, 4 Pm 3.58
La 0.5000 0.0000 0.0000  4 La 3.53, 4 Pb 3.58, 4 Pm 3.58
Pm 0.0000 0.0000 0.5000  4 Pb 3.53, 8 La 3.58
Pb 0.5000 0.5000 0.5000  4 Pm 3.53, 8 La 3.58

***

*four*
DFT (PBE-GGA) results for La2PmPb after structural relaxation.

## Properties
Symmetry: Fm-3m
DOS(E_F): 7.59 states/eV per cell

Cell lengths 5.7106, 5.7106, 5.7106 Å; angles 60.00, 60.00, 60.00 degrees
Last column: nearest neighbours and their distance in Å.
Positions (direct):
La 0.2500 0.2500 0.2500  4 Pb 3.50, 4 Pm 3.50
La 0.7500 0.7500 0.7500  4 Pb 3.50, 4 Pm 3.50
Pm 0.0000 0.0000 0.0000  8 La 3.50
Pb 0.5000 0.5000 0.5000  8 La 3.50

***

Which structure wins on stability? *three* wins.